(one)
Computed, not measured: BC2 after structural relaxation at the PBE-GGA level of DFT.

Geometry as POSCAR:
```
BC2
1.0
-2.263 0.281 1.237
0.652 -2.301 -1.004
5.775 -3.303 11.315
B C
4 8
Direct
0.000 0.000 0.877
0.667 0.333 0.711
0.000 0.000 0.494
0.333 0.667 0.168
0.667 0.333 0.832
0.333 0.667 0.656
0.667 0.333 0.331
0.000 0.000 0.372
0.333 0.667 0.548
0.667 0.333 0.215
0.000 0.000 0.008
0.333 0.667 0.039
```

(two)
Computed, not measured: BC2 after structural relaxation at the PBE-GGA level of DFT.

Geometry as POSCAR:
```
BC2
1.0
-2.300 -0.910 -0.598
1.478 -0.960 -4.218
1.768 -5.931 2.227
B C
4 8
Direct
0.500 0.874 0.352
0.500 0.477 0.212
0.500 0.177 0.918
0.000 0.304 0.350
0.500 0.523 0.984
0.000 0.673 0.669
0.000 0.334 0.594
0.000 0.973 0.237
0.000 0.982 0.011
0.000 0.674 0.909
0.500 0.174 0.671
0.500 0.834 0.593
```

Q: Which of them is the least stable? A: (one).